(1)
Crystalline Pr2AlCu4Si3 at its relaxed geometry, computed with GGA-PBE.

Cell lengths 4.1037, 4.1037, 10.1568 Å; angles 90.00, 90.00, 90.00 degrees
Closest atoms and distances in Å follow each position.
Space group P-4m2 (No. 115)
One atom of each set of equivalent atoms:
1 Pr 0.0000 0.5000 0.2423 x2  6 Si 3.13-3.33, 8 Cu 3.16-3.20, 2 Al 3.33
2 Al 0.0000 0.0000 0.5000 x1  4 Cu 2.47
3 Cu 0.0000 0.0000 0.0000 x1  4 Si 2.43
4 Cu 0.0000 0.5000 0.6356 x2  3 Si 2.41-2.47, 2 Al 2.47
5 Cu 0.5000 0.5000 0.0000 x1  4 Si 2.43
6 Si 0.0000 0.5000 0.8725 x2  5 Cu 2.41-2.43
7 Si 0.5000 0.5000 0.5000 x1  4 Cu 2.47

Formation energy without anion corrections, eV per atom: -0.537

***

(2)
Crystalline PrSmAlCu at its relaxed geometry, computed with GGA-PBE.

Cell lengths 7.3551, 7.3551, 7.3551 Å; angles 90.00, 90.00, 90.00 degrees
Closest atoms and distances in Å follow each position.
Space group F-43m (No. 216)
One atom of each set of equivalent atoms:
1 Pr 0.0000 0.0000 0.0000 x4  4 Al 3.18, 4 Cu 3.18
2 Sm 0.0000 0.0000 0.5000 x4  4 Cu 3.18, 4 Al 3.18
3 Al 0.2500 0.2500 0.2500 x4  4 Sm 3.18, 4 Pr 3.18
4 Cu 0.2500 0.2500 0.7500 x4  4 Pr 3.18, 4 Sm 3.18

Energy of formation from the pure elements, eV per atom: -0.208

***

(3)
Crystalline Pr2AlCu4Sn3 at its relaxed geometry, computed with GGA-PBE.

Cell lengths 4.3789, 4.3789, 10.7509 Å; angles 90.00, 90.00, 90.00 degrees
Closest atoms and distances in Å follow each position.
Space group P-4m2 (No. 115)
One atom of each set of equivalent atoms:
1 Pr 0.0000 0.5000 0.2480 x2  6 Sn 3.34-3.48, 8 Cu 3.36-3.45, 2 Al 3.48
2 Al 0.0000 0.0000 0.5000 x1  4 Cu 2.59
3 Cu 0.0000 0.0000 0.0000 x1  4 Sn 2.61
4 Cu 0.0000 0.5000 0.6295 x2  3 Sn 2.56-2.59, 2 Al 2.59
5 Cu 0.5000 0.5000 0.0000 x1  4 Sn 2.61
6 Sn 0.0000 0.5000 0.8678 x2  5 Cu 2.56-2.61
7 Sn 0.5000 0.5000 0.5000 x1  4 Cu 2.59

Energy of formation from the pure elements, eV per atom: -0.440

***

(4)
Crystalline SrPrAlCu at its relaxed geometry, computed with GGA-PBE.

Cell lengths 7.5597, 7.5597, 7.5597 Å; angles 90.00, 90.00, 90.00 degrees
Closest atoms and distances in Å follow each position.
Space group F-43m (No. 216)
One atom of each set of equivalent atoms:
1 Sr 0.0000 0.0000 0.0000 x4  4 Al 3.27, 4 Cu 3.27
2 Pr 0.0000 0.0000 0.5000 x4  4 Cu 3.27, 4 Al 3.27
3 Al 0.2500 0.2500 0.2500 x4  4 Pr 3.27, 4 Sr 3.27
4 Cu 0.2500 0.2500 0.7500 x4  4 Pr 3.27, 4 Sr 3.27

Energy of formation from the pure elements, eV per atom: -0.079

***

(5)
Crystalline TbPrAlCu at its relaxed geometry, computed with GGA-PBE.

Cell lengths 7.2991, 7.2991, 7.2991 Å; angles 90.00, 90.00, 90.00 degrees
Closest atoms and distances in Å follow each position.
Space group F-43m (No. 216)
One atom of each set of equivalent atoms:
1 Tb 0.0000 0.0000 0.0000 x4  4 Al 3.16, 4 Cu 3.16
2 Pr 0.0000 0.0000 0.5000 x4  4 Cu 3.16, 4 Al 3.16
3 Al 0.2500 0.2500 0.2500 x4  4 Pr 3.16, 4 Tb 3.16
4 Cu 0.2500 0.2500 0.7500 x4  4 Tb 3.16, 4 Pr 3.16

Energy of formation from the pure elements, eV per atom: -0.223

***

(6)
Crystalline Pr2Al4Zn3Cu at its relaxed geometry, computed with GGA-PBE.

Cell lengths 4.2821, 4.2821, 10.6075 Å; angles 90.00, 90.00, 90.00 degrees
Closest atoms and distances in Å follow each position.
Space group P-4m2 (No. 115)
One atom of each set of equivalent atoms:
1 Pr 0.0000 0.5000 0.2447 x2  6 Zn 3.26-3.36, 8 Al 3.29-3.45, 2 Cu 3.36
2 Al 0.0000 0.0000 0.5000 x1  4 Zn 2.61
3 Al 0.0000 0.5000 0.8775 x2  2 Cu 2.50, 3 Zn 2.50-2.51
4 Al 0.5000 0.5000 0.5000 x1  4 Zn 2.61
5 Zn 0.0000 0.0000 0.0000 x1  4 Al 2.50
6 Zn 0.0000 0.5000 0.6405 x2  5 Al 2.51-2.61
7 Cu 0.5000 0.5000 0.0000 x1  4 Al 2.50

Energy of formation from the pure elements, eV per atom: -0.408

***

(7)
Crystalline Pr2AlZn4Cu3 at its relaxed geometry, computed with GGA-PBE.

Cell lengths 4.1022, 4.1022, 11.0626 Å; angles 90.00, 90.00, 90.00 degrees
Closest atoms and distances in Å follow each position.
Space group P-4m2 (No. 115)
One atom of each set of equivalent atoms:
1 Pr 0.0000 0.5000 0.2461 x2  6 Cu 3.15-3.48, 8 Zn 3.17-3.41, 2 Al 3.48
2 Al 0.0000 0.0000 0.5000 x1  4 Zn 2.56
3 Zn 0.0000 0.0000 0.0000 x1  4 Cu 2.54
4 Zn 0.0000 0.5000 0.6388 x2  3 Cu 2.49-2.56, 2 Al 2.56
5 Zn 0.5000 0.5000 0.0000 x1  4 Cu 2.54
6 Cu 0.0000 0.5000 0.8639 x2  5 Zn 2.49-2.54
7 Cu 0.5000 0.5000 0.5000 x1  4 Zn 2.56

Energy of formation from the pure elements, eV per atom: -0.272

***

(8)
Crystalline PrAl4Zn2Cu at its relaxed geometry, computed with GGA-PBE.

Cell lengths 4.3622, 4.3622, 26.5958 Å; angles 90.00, 90.00, 120.00 degrees
Closest atoms and distances in Å follow each position.
Space group R-3m (No. 166, hexagonal axes)
One atom of each set of equivalent atoms:
1 Pr 0.0000 0.0000 0.0000 x3  8 Al 3.19-3.55, 6 Zn 3.32
2 Al 0.0000 0.0000 0.1334 x6  3 Cu 2.67, 3 Zn 2.87, 3 Al 2.98
3 Al 0.0000 0.0000 0.4068 x6  1 Cu 2.48, 3 Zn 2.53
4 Zn 0.0000 0.0000 0.2519 x6  3 Al 2.53
5 Cu 0.0000 0.0000 0.5000 x3  8 Al 2.48-2.67

Energy of formation from the pure elements, eV per atom: -0.187

***

(9)
Crystalline Pr2Al3Zn4Cu at its relaxed geometry, computed with GGA-PBE.

Cell lengths 4.3186, 4.3186, 10.4256 Å; angles 90.00, 90.00, 90.00 degrees
Closest atoms and distances in Å follow each position.
Space group P-4m2 (No. 115)
One atom of each set of equivalent atoms:
1 Pr 0.0000 0.5000 0.2473 x2  6 Al 3.29-3.36, 8 Zn 3.31-3.41, 2 Cu 3.36
2 Al 0.0000 0.0000 0.0000 x1  4 Zn 2.53
3 Al 0.0000 0.5000 0.6354 x2  5 Zn 2.49-2.58
4 Zn 0.0000 0.0000 0.5000 x1  4 Al 2.58
5 Zn 0.0000 0.5000 0.8744 x2  3 Al 2.49-2.53, 2 Cu 2.53
6 Zn 0.5000 0.5000 0.5000 x1  4 Al 2.58
7 Cu 0.5000 0.5000 0.0000 x1  4 Zn 2.53

Energy of formation from the pure elements, eV per atom: -0.352

***

(10)
Crystalline PrAlZnCu at its relaxed geometry, computed with GGA-PBE.

Cell lengths 6.7369, 6.7369, 6.7369 Å; angles 90.00, 90.00, 90.00 degrees
Closest atoms and distances in Å follow each position.
Space group F-43m (No. 216)
One atom of each set of equivalent atoms:
1 Pr 0.0000 0.0000 0.0000 x4  4 Cu 2.92, 4 Zn 2.92
2 Al 0.0000 0.0000 0.5000 x4  4 Cu 2.92, 4 Zn 2.92
3 Zn 0.2500 0.2500 0.2500 x4  4 Pr 2.92, 4 Al 2.92
4 Cu 0.2500 0.2500 0.7500 x4  4 Pr 2.92, 4 Al 2.92

Energy of formation from the pure elements, eV per atom: -0.291

***

(11)
Crystalline PrAlZn2Cu at its relaxed geometry, computed with GGA-PBE.

Cell lengths 4.1043, 4.2400, 10.9146 Å; angles 90.00, 90.00, 90.00 degrees
Closest atoms and distances in Å follow each position.
Space group Imm2 (No. 44)
One atom of each set of equivalent atoms:
1 Pr 0.0000 0.0000 0.0000 x2  8 Zn 3.19-3.51, 4 Cu 3.21, 4 Al 3.42-3.45
2 Al 0.0000 0.5000 0.7540 x2  2 Cu 2.50, 2 Zn 2.63
3 Zn 0.0000 0.0000 0.6112 x2  1 Cu 2.48, 2 Zn 2.60, 2 Al 2.63
4 Zn 0.0000 0.5000 0.2568 x2  2 Cu 2.53, 2 Zn 2.60
5 Cu 0.0000 0.0000 0.3841 x2  3 Zn 2.48-2.53, 2 Al 2.50

Energy of formation from the pure elements, eV per atom: -0.336

***

(12)
Crystalline PrAlZn6Cu at its relaxed geometry, computed with GGA-PBE.

Cell lengths 6.8100, 8.9609, 11.0712 Å; angles 90.00, 90.00, 90.00 degrees
Closest atoms and distances in Å follow each position.
Space group Imma (No. 74)
One atom of each set of equivalent atoms:
1 Pr 0.0000 0.2500 0.2017 x4  10 Zn 3.10-3.38, 2 Cu 3.16
2 Al 0.2500 0.2500 0.7500 x4  6 Zn 2.55-2.68
3 Zn 0.0000 0.2500 0.5067 x4  8 Zn 2.89-2.95, 2 Al 3.19
4 Zn 0.0000 0.2500 0.9216 x4  2 Cu 2.40, 2 Al 2.55
5 Zn 0.1905 0.0002 0.3777 x16  1 Cu 2.51, 2 Zn 2.59-2.71, 1 Al 2.68
6 Cu 0.0000 0.0000 0.0000 x4  6 Zn 2.40-2.51

Energy of formation from the pure elements, eV per atom: 0.026

***

(13)
Crystalline PrAl2ZnCu2 at its relaxed geometry, computed with GGA-PBE.

Cell lengths 4.4672, 4.4672, 5.6941 Å; angles 90.00, 90.00, 90.00 degrees
Closest atoms and distances in Å follow each position.
Space group P4/mmm (No. 123)
One atom of each set of equivalent atoms:
1 Pr 0.0000 0.0000 0.0000 x1  2 Zn 2.85
2 Al 0.5000 0.5000 0.2431 x2  4 Cu 2.67, 2 Al 2.77-2.93
3 Zn 0.0000 0.0000 0.5000 x1  4 Cu 2.23
4 Cu 0.0000 0.5000 0.5000 x2  2 Zn 2.23

Energy of formation from the pure elements, eV per atom: -0.117

***

(14)
Crystalline PrAlZnCu3 at its relaxed geometry, computed with GGA-PBE.

Cell lengths 6.1564, 12.0898, 5.8120 Å; angles 90.00, 90.00, 90.00 degrees
Closest atoms and distances in Å follow each position.
Space group Cmcm (No. 63)
One atom of each set of equivalent atoms:
1 Pr 0.0000 0.2069 0.2500 x4  1 Al 2.99, 2 Zn 3.02, 6 Cu 3.14
2 Al 0.0000 0.4544 0.2500 x4  5 Cu 2.41-2.42
3 Zn 0.0000 0.1382 0.7500 x4  5 Cu 2.51-2.53
4 Cu 0.0000 0.3458 0.7500 x4  1 Al 2.42, 1 Zn 2.51
5 Cu 0.2002 0.0000 0.0000 x8  2 Al 2.41, 1 Cu 2.47, 2 Zn 2.53

Energy of formation from the pure elements, eV per atom: -0.064

***

(15)
Crystalline PrAl2ZnCu4 at its relaxed geometry, computed with GGA-PBE.

Cell lengths 4.1828, 4.1828, 25.9914 Å; angles 90.00, 90.00, 120.00 degrees
Closest atoms and distances in Å follow each position.
Space group R-3m (No. 166, hexagonal axes)
One atom of each set of equivalent atoms:
1 Pr 0.0000 0.0000 0.0000 x3  6 Cu 3.07
2 Al 0.0000 0.0000 0.2390 x6  7 Cu 2.48-2.74
3 Zn 0.0000 0.0000 0.5000 x3  8 Cu 2.44-2.56
4 Cu 0.0000 0.0000 0.1336 x6  3 Zn 2.56, 4 Al 2.62-2.74
5 Cu 0.0000 0.0000 0.4061 x6  1 Zn 2.44, 3 Al 2.48

Energy of formation from the pure elements, eV per atom: -0.231

***

(16)
Crystalline Pr2Al3ZnCu12 at its relaxed geometry, computed with GGA-PBE.

Cell lengths 8.0554, 8.0554, 18.0974 Å; angles 90.00, 90.00, 120.00 degrees
Closest atoms and distances in Å follow each position.
Space group R-3m (No. 166, hexagonal axes)
One atom of each set of equivalent atoms:
1 Pr 0.0000 0.0000 0.0989 x6  9 Cu 2.93-3.26
2 Al 0.0000 0.5000 0.0000 x9  6 Cu 2.47-2.52
3 Zn 0.0000 0.0000 0.5000 x3  6 Cu 2.33
4 Cu 0.0072 0.5036 0.1394 x18  1 Zn 2.33, 4 Cu 2.38-2.48, 1 Al 2.52
5 Cu 0.1088 0.5544 0.4095 x18  2 Cu 2.38, 2 Al 2.47

Energy of formation from the pure elements, eV per atom: 0.218

***

(17)
Crystalline Pr2AlZn3Cu4 at its relaxed geometry, computed with GGA-PBE.

Cell lengths 4.2377, 4.2377, 10.2095 Å; angles 90.00, 90.00, 90.00 degrees
Closest atoms and distances in Å follow each position.
Space group P-4m2 (No. 115)
One atom of each set of equivalent atoms:
1 Pr 0.0000 0.5000 0.2477 x2  6 Zn 3.24-3.34, 8 Cu 3.24-3.30, 2 Al 3.34
2 Al 0.0000 0.0000 0.5000 x1  4 Cu 2.51
3 Zn 0.0000 0.5000 0.8726 x2  5 Cu 2.47-2.49
4 Zn 0.5000 0.5000 0.5000 x1  4 Cu 2.51
5 Cu 0.0000 0.0000 0.0000 x1  4 Zn 2.49
6 Cu 0.0000 0.5000 0.6309 x2  3 Zn 2.47-2.51, 2 Al 2.51
7 Cu 0.5000 0.5000 0.0000 x1  4 Zn 2.49

Energy of formation from the pure elements, eV per atom: -0.251

***

(18)
Crystalline PrAl2ZnCu at its relaxed geometry, computed with GGA-PBE.

Cell lengths 4.2883, 4.3088, 10.4327 Å; angles 90.00, 90.00, 90.00 degrees
Closest atoms and distances in Å follow each position.
Space group Imm2 (No. 44)
One atom of each set of equivalent atoms:
1 Pr 0.0000 0.0000 0.0000 x2  8 Al 3.23-3.42, 4 Cu 3.32, 4 Zn 3.38
2 Al 0.0000 0.0000 0.3966 x2  1 Cu 2.41, 2 Zn 2.63, 2 Al 2.67
3 Al 0.0000 0.5000 0.2448 x2  2 Cu 2.47, 2 Al 2.67
4 Zn 0.0000 0.5000 0.7507 x2  2 Cu 2.51, 2 Al 2.63
5 Cu 0.0000 0.0000 0.6276 x2  3 Al 2.41-2.47, 2 Zn 2.51

Energy of formation from the pure elements, eV per atom: -0.388

***

(19)
Crystalline PrAl2Zn4Cu at its relaxed geometry, computed with GGA-PBE.

Cell lengths 4.3281, 4.3281, 26.0858 Å; angles 90.00, 90.00, 120.00 degrees
Closest atoms and distances in Å follow each position.
Space group R-3m (No. 166, hexagonal axes)
One atom of each set of equivalent atoms:
1 Pr 0.0000 0.0000 0.0000 x3  6 Zn 3.08, 6 Al 3.42
2 Al 0.0000 0.0000 0.2438 x6  6 Zn 2.55-2.75
3 Zn 0.0000 0.0000 0.1335 x6  3 Cu 2.64, 4 Al 2.75-2.88
4 Zn 0.0000 0.0000 0.4026 x6  1 Cu 2.54, 3 Al 2.55
5 Cu 0.0000 0.0000 0.5000 x3  8 Zn 2.54-2.64

Energy of formation from the pure elements, eV per atom: -0.177

***

(20)
Crystalline AlCuPt2 at its relaxed geometry, computed with GGA-PBE.

Cell lengths 2.8864, 4.3468, 9.1423 Å; angles 90.00, 90.00, 90.00 degrees
Closest atoms and distances in Å follow each position.
Space group Imm2 (No. 44)
One atom of each set of equivalent atoms:
1 Al 0.0000 0.0000 0.0000 x2  6 Pt 2.56-2.61, 2 Cu 2.58
2 Cu 0.0000 0.5000 0.7338 x2  2 Al 2.58, 6 Pt 2.63-2.75, 2 Cu 2.89
3 Pt 0.0000 0.0000 0.4905 x2  4 Al 2.61, 2 Cu 2.75, 2 Pt 2.89
4 Pt 0.0000 0.5000 0.2688 x2  2 Al 2.56, 4 Cu 2.63

Energy of formation from the pure elements, eV per atom: -0.550

***

(21)
Crystalline AlCu2Pt at its relaxed geometry, computed with GGA-PBE.

Cell lengths 2.8179, 3.4964, 5.4656 Å; angles 90.00, 90.00, 90.00 degrees
Closest atoms and distances in Å follow each position.
Space group Pmm2 (No. 25)
One atom of each set of equivalent atoms:
1 Al 0.0000 0.0000 0.0000 x1  4 Pt 2.59, 6 Cu 2.61-2.86, 2 Al 2.82
2 Cu 0.0000 0.0000 0.4776 x1  6 Cu 2.53-2.82, 1 Al 2.61, 4 Pt 2.74
3 Cu 0.5000 0.5000 0.2630 x1  6 Cu 2.53-2.82, 4 Al 2.67, 2 Pt 2.73-2.74
4 Pt 0.5000 0.5000 0.7635 x1  4 Al 2.59, 6 Cu 2.73-2.74, 2 Pt 2.82

Energy of formation from the pure elements, eV per atom: -0.448

***

(22)
Crystalline AlCu2Pt2 at its relaxed geometry, computed with GGA-PBE.

Cell lengths 6.3851, 6.3851, 3.7670 Å; angles 90.00, 90.00, 90.00 degrees
Closest atoms and distances in Å follow each position.
Space group P4/mbm (No. 127)
One atom of each set of equivalent atoms:
1 Al 0.0000 0.0000 0.0000 x2  4 Pt 2.44
2 Cu 0.1530 0.3470 0.5000 x4  6 Pt 2.61-2.68, 1 Cu 2.76
3 Pt 0.1465 0.6465 0.0000 x4  2 Al 2.44, 6 Cu 2.61-2.68, 1 Pt 2.65

Energy of formation from the pure elements, eV per atom: -0.329
ΔE to the lowest computed polymorph, eV per atom: 0.000

***

(23)
Crystalline Al2Cu3Pt3 at its relaxed geometry, computed with GGA-PBE.

Cell lengths 3.8935, 3.9538, 7.1827 Å; angles 90.00, 90.00, 90.00 degrees
Closest atoms and distances in Å follow each position.
Space group Pmmm (No. 47)
One atom of each set of equivalent atoms:
1 Al 0.0000 0.0000 0.2487 x2  6 Pt 2.64-2.66, 6 Cu 2.68-2.78
2 Cu 0.0000 0.5000 0.5000 x1  4 Cu 2.62, 4 Al 2.68, 4 Pt 2.77
3 Cu 0.5000 0.5000 0.2559 x2  2 Cu 2.62, 6 Pt 2.64-2.70, 4 Al 2.78
4 Pt 0.0000 0.5000 0.0000 x1  4 Al 2.66, 4 Cu 2.68, 4 Pt 2.77
5 Pt 0.5000 0.0000 0.0000 x1  4 Al 2.64, 4 Cu 2.70, 4 Pt 2.77
6 Pt 0.5000 0.0000 0.5000 x1  8 Cu 2.64-2.77, 4 Al 2.65

Energy of formation from the pure elements, eV per atom: -0.590

***

(24)
Crystalline Al2CuPt2 at its relaxed geometry, computed with GGA-PBE.

Cell lengths 3.7638, 3.7638, 11.6493 Å; angles 90.00, 90.00, 90.00 degrees
Closest atoms and distances in Å follow each position.
Space group I4/mmm (No. 139)
One atom of each set of equivalent atoms:
1 Al 0.0000 0.5000 0.2500 x4  4 Pt 2.48, 4 Al 2.66
2 Cu 0.0000 0.0000 0.0000 x2  8 Pt 2.96
3 Pt 0.0000 0.0000 0.3882 x4  4 Al 2.48, 1 Pt 2.60

Energy of formation from the pure elements, eV per atom: -0.549
ΔE to the lowest computed polymorph, eV per atom: 0.198